1.
Entry from the Alexandria database: a geometry-optimized CaSn2PdO structure (PBE-GGA).

Geometry as extended XYZ:
```
5
Lattice="4.7765 0.0000 0.0000 0.0000 4.5233 0.0000 0.0000 0.0000 4.7765" Properties=species:S:1:pos:R:3 pbc="T T T"
O 0.0000 0.0000 0.0000
Ca 0.0000 2.2617 0.0000
Sn 0.0000 0.0000 2.3882
Sn 2.3882 0.0000 0.0000
Pd 2.3882 2.2617 2.3882
```

Computed properties:
ρ in kg/m³: 6435
Space group: P4/mmm
Total magnetization in μB/atom: 0.000
Energy relative to the elements, uncorrected in kJ per mole of atoms: -76

***

2.
Entry from the Alexandria database: a geometry-optimized PuSbPbAu structure (PBE-GGA).

Geometry as extended XYZ:
```
4
Lattice="-0.2544 2.7527 4.5251 -2.2437 -2.1573 4.2931 3.0041 -1.4125 4.1351" Properties=species:S:1:pos:R:3 pbc="T T T"
Pb 0.2530 -0.4086 6.4767
Sb 0.1265 -0.2043 3.2383
Au 0.3795 -0.6129 9.7150
Pu 0.0000 0.0000 0.0000
```

Computed properties:
ρ in kg/m³: 12126
Space group: F-43m
Total magnetization in μB/atom: 1.439
Energy relative to the elements, uncorrected in kJ per mole of atoms: -24

***

3.
Entry from the Alexandria database: a geometry-optimized Pr4Sm4Dy3 structure (PBE-GGA).

Geometry as extended XYZ:
```
11
Lattice="3.6031 0.0000 -0.6637 -0.8635 8.3280 -4.6880 0.3505 1.2714 12.0149" Properties=species:S:1:pos:R:3 pbc="T T T"
Pr 2.0179 4.2665 0.8425
Pr 1.3760 2.4026 7.4702
Pr 1.0721 5.3329 5.8207
Pr 1.7140 7.1969 -0.8070
Sm 2.6195 2.5845 4.1089
Sm 0.4705 7.0149 2.5543
Sm 1.4483 8.0585 7.8624
Sm 1.6418 1.5409 -1.1992
Dy 2.7257 8.4483 4.6854
Dy 0.3643 1.1511 1.9779
Dy -0.4318 4.1640 -2.3440
```

Computed properties:
ρ in kg/m³: 7134
Space group: Immm
ΔH_f (0 K) in eV per atom: 0.122
Total magnetization in μB/atom: 0.000

***

4.
Entry from the Alexandria database: a geometry-optimized Ti3NbV8 structure (PBE-GGA).

Geometry as extended XYZ:
```
12
Lattice="-2.4092 -1.0815 4.2787 -4.5256 -2.1861 -0.1465 1.2638 -8.5004 1.5174" Properties=species:S:1:pos:R:3 pbc="T T T"
Ti -1.4898 -8.6733 2.8775
Ti 1.2620 -8.4967 1.5173
Ti -2.8355 -5.8839 2.8248
Nb -5.5966 -6.0413 4.1846
V -4.0093 -3.5482 4.2320
V -4.4197 -8.3834 2.7748
V -2.8042 -3.0073 2.0918
V -5.6271 -8.9254 4.9191
V -0.7417 -4.3433 1.4389
V -3.5901 -10.2006 4.2632
V -5.0679 -4.1007 2.0185
V -3.3591 -7.8298 4.9925
```

Computed properties:
ρ in kg/m³: 5935
Space group: R3m
ΔH_f (0 K) in eV per atom: 0.047
Total magnetization in μB/atom: 0.000

***

5.
Entry from the Alexandria database: a geometry-optimized Ac2EuIn structure (PBE-GGA).

Geometry as extended XYZ:
```
4
Lattice="3.8927 0.0000 0.0000 1.9463 3.3711 0.0000 1.9463 1.1237 12.7860" Properties=species:S:1:pos:R:3 pbc="T T T"
Eu 0.0000 0.0000 0.0000
Ac 1.9463 1.1237 9.0184
Ac 5.8390 3.3711 3.7677
In 3.8927 2.2474 6.3930
```

Computed properties:
ρ in kg/m³: 7133
Space group: R-3m
ΔH_f (0 K) in eV per atom: 0.035
Total magnetization in μB/atom: 1.881

***

6.
Entry from the Alexandria database: a geometry-optimized PmNbIr4 structure (PBE-GGA).

Geometry as extended XYZ:
```
6
Lattice="-0.7304 -4.1957 3.1565 4.0165 -3.3223 0.9644 2.2408 -0.1259 4.8024" Properties=species:S:1:pos:R:3 pbc="T T T"
Nb 1.3817 -1.9110 2.2308
Ir 2.3336 -4.7151 3.1750
Ir 1.4452 -3.1158 5.0953
Ir 3.4548 -4.7781 5.5779
Ir 3.8203 -2.6788 3.9985
Pm 0.0000 0.0000 0.0000
```

Computed properties:
ρ in kg/m³: 15872
Space group: F-43m
ΔH_f (0 K) in eV per atom: -0.362
Total magnetization in μB/atom: 0.000